Density functional theory data (PBE) for a relaxed structure of TlHRuI2.

- Total energy: -2.997 eV/atom
- Space-group type: P4/mmm, No. 123
- Size of the total moment: 2.3 Bohr magnetons per cell

a b c (Å): 5.4728 5.4209 5.4728
angles (deg): 90.00 90.00 90.00
Closest atoms and distances in Å follow each position.
Sites, in units of the cell vectors:
Ru: 0.0000 0.0000 0.0000  2 Tl 2.71, 4 I 2.74
I: 0.5000 0.0000 0.0000  2 Ru 2.74
H: 0.5000 0.5000 0.5000  8 I 3.85, 4 Tl 3.87
Tl: 0.0000 0.5000 0.0000  2 Ru 2.71
I: 0.0000 0.0000 0.5000  2 Ru 2.74